Compound: MgTc2TeP
Source: the Alexandria database
Functional: meta-GGA SCAN
Structure: PBEsol geometry

Calculated values
* raw total energy: -22.99 eV/atom
* N(E_F): 0.76 states/eV per atom
* total magnetic moment: 4.1 μB per formula unit

a = 4.837 Å, b = 4.837 Å, c = 5.034 Å
α = 90.00°, β = 90.00°, γ = 90.00°
Site moments in Bohr magnetons follow the coordinates.
Element x y z (fractional)
P 0.000 0.000 0.500  0.13
Mg 0.500 0.500 0.500  -0.04
Tc 0.500 0.000 0.000  1.92
Tc 0.000 0.500 0.000  1.92
Te 0.000 0.000 0.000  -0.05


Compound: KLiTi2Ir
Source: the Alexandria database
Functional: meta-GGA SCAN
Structure: PBEsol geometry

Calculated values
* raw total energy: -20.68 eV/atom
* N(E_F): 0.87 states/eV per atom
* formation energy: 2097 meV per atom
* total magnetic moment: 0.9 μB per formula unit

a = 4.448 Å, b = 4.448 Å, c = 4.637 Å
α = 90.00°, β = 90.00°, γ = 90.00°
Site moments in Bohr magnetons follow the coordinates.
Element x y z (fractional)
K 0.000 0.000 0.000  0.08
Li 0.500 0.500 0.500  0.00
Ti 0.000 0.500 0.000  0.42
Ti 0.500 0.000 0.000  0.42
Ir 0.000 0.000 0.500  -0.09


Compound: RbLa2H
Source: the Alexandria database
Functional: meta-GGA SCAN
Structure: PBEsol geometry

Calculated values
* raw total energy: -27.46 eV/atom
* N(E_F): 0.68 states/eV per atom
* total magnetic moment: 0.0 μB per formula unit

a = 7.191 Å, b = 7.191 Å, c = 7.191 Å
α = 97.86°, β = 115.57°, γ = 115.57°
Element x y z (fractional)
H 0.000 0.500 0.500
H 0.500 0.250 0.750
La 0.819 0.444 0.125
La 0.681 0.375 0.556
La 0.319 0.875 0.694
La 0.181 0.306 0.625
Rb 0.500 0.750 0.250
Rb 0.000 0.000 0.000


Compound: KPt2Se
Source: the Alexandria database
Functional: meta-GGA SCAN
Structure: PBEsol geometry

Calculated values
* raw total energy: -42.18 eV/atom
* N(E_F): 0.64 states/eV per atom
* total magnetic moment: 0.0 μB per formula unit

a = 3.402 Å, b = 3.402 Å, c = 7.240 Å
α = 90.00°, β = 90.00°, γ = 90.00°
Element x y z (fractional)
Se 0.000 0.000 0.411
K 0.500 0.500 0.754
Pt 0.000 0.000 0.074
Pt 0.500 0.500 0.261


Compound: MnFeAg2
Source: the Alexandria database
Functional: meta-GGA SCAN
Structure: PBEsol geometry

Calculated values
* energy relative to the lowest polymorph listed for this composition: 0.065 eV/atom
* raw total energy: -24.53 eV/atom
* N(E_F): 0.62 states/eV per atom
* formation energy: 247 meV per atom
* total magnetic moment: 7.0 μB per formula unit

a = 2.730 Å, b = 2.730 Å, c = 9.195 Å
α = 81.46°, β = 81.46°, γ = 60.00°
Site moments in Bohr magnetons follow the coordinates.
Element x y z (fractional)
Ag 0.751 0.751 0.747  0.01
Ag 0.249 0.249 0.253  0.01
Mn 0.000 0.000 0.000  3.89
Fe 0.500 0.500 0.500  3.11


Compound: KTlNi
Source: the Alexandria database
Functional: meta-GGA SCAN
Structure: PBEsol geometry

Calculated values
* raw total energy: -32.01 eV/atom
* N(E_F): 0.52 states/eV per atom
* formation energy: 274 meV per atom
* total magnetic moment: 0.0 μB per formula unit

a = 4.370 Å, b = 4.370 Å, c = 5.132 Å
α = 90.00°, β = 90.00°, γ = 120.00°
Element x y z (fractional)
Tl 0.667 0.333 0.000
Ni 0.333 0.667 0.000
K 0.000 0.000 0.500


Compound: ScTiC2
Source: the Alexandria database
Functional: meta-GGA SCAN
Structure: PBEsol geometry

Calculated values
* raw total energy: -12.24 eV/atom
* N(E_F): 0.78 states/eV per atom
* formation energy: 375 meV per atom
* total magnetic moment: 0.0 μB per formula unit

a = 3.910 Å, b = 3.910 Å, c = 3.910 Å
α = 60.00°, β = 60.00°, γ = 60.00°
Element x y z (fractional)
Ti 0.500 0.500 0.500
C 0.750 0.750 0.750
C 0.250 0.250 0.250
Sc 0.000 0.000 0.000


Compound: Y5Hg
Source: the Alexandria database
Functional: meta-GGA SCAN
Structure: PBEsol geometry

Calculated values
* energy relative to the lowest polymorph listed for this composition: 0.000 eV/atom
* raw total energy: -34.79 eV/atom
* N(E_F): 0.88 states/eV per atom
* formation energy: -225 meV per atom
* total magnetic moment: 1.2 μB per formula unit

a = 3.540 Å, b = 3.540 Å, c = 13.729 Å
α = 90.00°, β = 90.00°, γ = 90.00°
Site moments in Bohr magnetons follow the coordinates.
Element x y z (fractional)
Hg 0.500 0.500 0.500  0.00
Y 0.000 0.000 0.641  0.32
Y 0.000 0.000 0.000  -0.29
Y 0.500 0.500 0.822  0.21
Y 0.000 0.000 0.359  0.32
Y 0.500 0.500 0.178  0.21


Compound: Y2RhBr
Source: the Alexandria database
Functional: meta-GGA SCAN
Structure: PBEsol geometry

Calculated values
* energy relative to the lowest polymorph listed for this composition: 0.000 eV/atom
* raw total energy: -28.47 eV/atom
* N(E_F): 0.17 states/eV per atom
* total magnetic moment: 0.0 μB per formula unit

a = 3.926 Å, b = 3.926 Å, c = 7.822 Å
α = 75.47°, β = 75.47°, γ = 60.00°
Element x y z (fractional)
Rh 0.500 0.500 0.500
Y 0.232 0.232 0.303
Y 0.768 0.768 0.697
Br 0.000 0.000 0.000


Compound: YZr2Co
Source: the Alexandria database
Functional: meta-GGA SCAN
Structure: PBEsol geometry

Calculated values
* energy relative to the lowest polymorph listed for this composition: 0.150 eV/atom
* raw total energy: -26.48 eV/atom
* N(E_F): 1.06 states/eV per atom
* formation energy: 152 meV per atom
* total magnetic moment: 0.4 μB per formula unit

a = 3.336 Å, b = 4.065 Å, c = 6.265 Å
α = 90.00°, β = 102.13°, γ = 90.00°
Site moments in Bohr magnetons follow the coordinates.
Element x y z (fractional)
Y 0.406 0.500 0.719  -0.10
Zr 0.596 0.500 0.277  -0.14
Zr 0.034 0.000 0.050  -0.06
Co 0.964 0.000 0.455  0.81


Compound: MnAs2AuBr
Source: the Alexandria database
Functional: meta-GGA SCAN
Structure: PBEsol geometry

Calculated values
* raw total energy: -28.99 eV/atom
* N(E_F): 0.48 states/eV per atom
* total magnetic moment: 1.8 μB per formula unit

a = 4.480 Å, b = 4.480 Å, c = 5.012 Å
α = 90.00°, β = 90.00°, γ = 90.00°
Site moments in Bohr magnetons follow the coordinates.
Element x y z (fractional)
As 0.000 0.500 0.000  -0.28
As 0.500 0.000 0.000  -0.28
Au 0.500 0.500 0.500  -0.06
Br 0.000 0.000 0.500  -0.10
Mn 0.000 0.000 0.000  2.77


Compound: Si2AgRu2
Source: the Alexandria database
Functional: meta-GGA SCAN
Structure: PBEsol geometry

Calculated values
* raw total energy: -24.37 eV/atom
* N(E_F): 0.44 states/eV per atom
* total magnetic moment: 0.0 μB per formula unit

a = 3.511 Å, b = 3.511 Å, c = 6.396 Å
α = 105.93°, β = 105.93°, γ = 90.00°
Element x y z (fractional)
Ag 0.000 0.000 0.000
Ru 0.613 0.613 0.226
Ru 0.387 0.387 0.774
Si 0.250 0.750 0.500
Si 0.750 0.250 0.500


Number 1: density 5.3 g/cm3. Number 2: density 6.0 g/cm3. Number 3: density 4.4 g/cm3. Number 4: density 10.1 g/cm3. Number 5: density 9.3 g/cm3. Number 6: density 5.9 g/cm3. Number 7: density 4.6 g/cm3. Number 8: density 6.2 g/cm3. Number 9: density 6.0 g/cm3. Number 10: density 6.6 g/cm3. Number 11: density 8.0 g/cm3. Number 12: density 8.4 g/cm3.